DFT (GGA-PBE) results for TlP2Cl after structural relaxation.

Unit cell a=5.098 b=5.098 c=5.888 alpha=90.00 beta=90.00 gamma=90.00
Element x y z (fractional)
Cl (0.500, 0.500, 0.750)
P (0.000, 0.000, 0.413)
P (0.000, 0.000, 0.087)
Tl (0.500, 0.500, 0.250)

## Properties
Crystal system = tetragonal
Energy relative to the elements, uncorrected = 0.0644 eV/atom
Space-group type = P4/mmm, No. 123
ΔE to the lowest computed polymorph = 307.1 meV per atom